Computed, not measured: a relaxed La14NdTm crystal at the GGA-PBE level of DFT.

Results
* Fermi-level density of states: 27.97 states/eV per cell
* size of the total moment: 0.00 μB/cell
* calculated volume: 35.95 Å³ per atom
* energy: -4.882 eV per atom
* calculated density: 6518 kg/m³
* energy of formation from the pure elements: 0.0074 eV/atom

a = 7.393 Å, b = 7.393 Å, c = 10.525 Å
α = 90.00°, β = 90.00°, γ = 90.00°
Atoms (fractional coordinates):
La  0.000  0.000  0.000
La  0.000  0.500  0.000
La  0.000  0.500  0.500
La  0.248  0.248  0.252
La  0.248  0.248  0.748
La  0.248  0.752  0.252
La  0.248  0.752  0.748
La  0.500  0.000  0.000
La  0.500  0.000  0.500
La  0.500  0.500  0.000
La  0.752  0.248  0.252
La  0.752  0.248  0.748
La  0.752  0.752  0.252
La  0.752  0.752  0.748
Nd  0.500  0.500  0.500
Tm  0.000  0.000  0.500

=====

Computed, not measured: a relaxed Tm5PuPb6 crystal at the GGA-PBE level of DFT.

Results
* Fermi-level density of states: 16.47 states/eV per cell
* size of the total moment: 6.09 μB/cell
* calculated volume: 28.68 Å³ per atom
* energy: -5.227 eV per atom
* calculated density: 11252 kg/m³
* energy of formation from the pure elements: -0.3153 eV/atom

a = 8.297 Å, b = 8.297 Å, c = 7.549 Å
α = 94.51°, β = 94.51°, γ = 137.30°
Atoms (fractional coordinates):
Tm  0.000  0.000  0.000
Tm  0.331  0.669  0.500
Tm  0.339  0.661  0.000
Tm  0.661  0.339  0.000
Tm  0.669  0.331  0.500
Pu  0.000  0.000  0.500
Pb  0.169  0.829  0.757
Pb  0.171  0.831  0.243
Pb  0.490  0.490  0.255
Pb  0.510  0.510  0.745
Pb  0.829  0.169  0.757
Pb  0.831  0.171  0.243

=====

Copy entry 2 word for word.
Computed, not measured: a relaxed Tm5PuPb6 crystal at the GGA-PBE level of DFT.

Results
* Fermi-level density of states: 16.47 states/eV per cell
* size of the total moment: 6.09 μB/cell
* calculated volume: 28.68 Å³ per atom
* energy: -5.227 eV per atom
* calculated density: 11252 kg/m³
* energy of formation from the pure elements: -0.3153 eV/atom

a = 8.297 Å, b = 8.297 Å, c = 7.549 Å
α = 94.51°, β = 94.51°, γ = 137.30°
Atoms (fractional coordinates):
Tm  0.000  0.000  0.000
Tm  0.331  0.669  0.500
Tm  0.339  0.661  0.000
Tm  0.661  0.339  0.000
Tm  0.669  0.331  0.500
Pu  0.000  0.000  0.500
Pb  0.169  0.829  0.757
Pb  0.171  0.831  0.243
Pb  0.490  0.490  0.255
Pb  0.510  0.510  0.745
Pb  0.829  0.169  0.757
Pb  0.831  0.171  0.243

=====

Repeat the first record exactly.
Computed, not measured: a relaxed La14NdTm crystal at the GGA-PBE level of DFT.

Results
* Fermi-level density of states: 27.97 states/eV per cell
* size of the total moment: 0.00 μB/cell
* calculated volume: 35.95 Å³ per atom
* energy: -4.882 eV per atom
* calculated density: 6518 kg/m³
* energy of formation from the pure elements: 0.0074 eV/atom

a = 7.393 Å, b = 7.393 Å, c = 10.525 Å
α = 90.00°, β = 90.00°, γ = 90.00°
Atoms (fractional coordinates):
La  0.000  0.000  0.000
La  0.000  0.500  0.000
La  0.000  0.500  0.500
La  0.248  0.248  0.252
La  0.248  0.248  0.748
La  0.248  0.752  0.252
La  0.248  0.752  0.748
La  0.500  0.000  0.000
La  0.500  0.000  0.500
La  0.500  0.500  0.000
La  0.752  0.248  0.252
La  0.752  0.248  0.748
La  0.752  0.752  0.252
La  0.752  0.752  0.748
Nd  0.500  0.500  0.500
Tm  0.000  0.000  0.500

=====

> The lowest calculated volume belongs to which entry?

Tm5PuPb6